Crystalline ScNi2P at its relaxed geometry. Source: Alexandria, functional PBE.

The total energy is -6.278 eV/atom. The calculation puts the energy of formation at -452 meV per atom.

It has space group Pmm2 (No. 25), with a = 3.0130 Å, b = 3.1985 Å, c = 5.7425 Å, α = 90.00°, β = 90.00° and γ = 90.00°. The asymmetric unit holds Sc at (0.0000, 0.0000, 0.0000), Ni at (0.0000, 0.0000, 0.5151), Ni at (0.5000, 0.5000, 0.2679) and P at (0.5000, 0.5000, 0.6589).


Crystalline Pr2Er5Tm2 at its relaxed geometry. Source: Alexandria, functional PBE.

The total energy is -4.368 eV/atom. The calculation puts the energy of formation at 222 meV per atom.

It has space group C2/m (No. 12), with a = 21.5926 Å, b = 3.4715 Å, c = 8.1690 Å, α = 90.00°, β = 100.01° and γ = 90.00°. The asymmetric unit holds Pr at (0.1804, 0.0000, 0.1419), Er at (0.0000, 0.0000, 0.0000), Er at (0.0942, 0.0000, 0.7292), Er at (0.1905, 0.5000, 0.5321) and Tm at (0.0466, 0.5000, 0.3558).


Crystalline FeRhSeBr2 at its relaxed geometry. Source: Alexandria, functional PBE.

The total energy is -3.798 eV/atom. The formation energy (no corrections) is 0.7305 eV per atom.

It has space group P4/mmm (No. 123), with a = 5.0107 Å, b = 5.0107 Å, c = 4.4106 Å, α = 90.00°, β = 90.00° and γ = 90.00°. The asymmetric unit holds Fe at (0.0000, 0.0000, 0.0000), Rh at (0.5000, 0.5000, 0.5000), Se at (0.0000, 0.0000, 0.5000) and Br at (0.0000, 0.5000, 0.0000).


Crystalline CaY2Pu at its relaxed geometry. Source: Alexandria, functional PBE.

The total energy is -7.172 eV/atom. The calculation puts the energy of formation at 144 meV per atom.

It has space group P4/mmm (No. 123), with a = 3.5743 Å, b = 3.5743 Å, c = 10.2944 Å, α = 90.00°, β = 90.00° and γ = 90.00°. The asymmetric unit holds Ca at (0.0000, 0.0000, 0.0000), Y at (0.5000, 0.5000, 0.2741) and Pu at (0.0000, 0.0000, 0.5000).


Crystalline Sr2RhW at its relaxed geometry. Source: Alexandria, functional PBE.

The total energy is -4.941 eV/atom. The calculation puts the energy of formation at 976 meV per atom.

It has space group Cmmm (No. 65), with a = 5.9433 Å, b = 9.9603 Å, c = 3.1123 Å, α = 90.00°, β = 90.00° and γ = 90.00°. The asymmetric unit holds Sr at (0.2500, 0.2500, 0.0000), Rh at (0.0000, 0.0000, 0.5000) and W at (0.0000, 0.5000, 0.5000).


Crystalline CoSb2 at its relaxed geometry. Source: Alexandria, functional PBE.

The total energy is -3.932 eV/atom. The formation energy (no corrections) is 1.1845 eV per atom.

It has space group Fd-3m (No. 227, origin choice 2), with a = 8.5396 Å, b = 8.5396 Å, c = 8.5396 Å, α = 90.00°, β = 90.00° and γ = 90.00°. The asymmetric unit holds Co at (0.1250, 0.1250, 0.1250) and Sb at (0.0000, 0.0000, 0.5000).


Crystalline MnBeCo at its relaxed geometry. Source: Alexandria, functional PBE.

The total energy is -6.642 eV/atom. The calculation puts the energy of formation at 26 meV per atom.

It has space group Fmm2 (No. 42), with a = 2.7984 Å, b = 3.8622 Å, c = 11.2182 Å, α = 90.00°, β = 90.00° and γ = 90.00°. The asymmetric unit holds Mn at (0.0000, 0.0000, 0.0000), Be at (0.0000, 0.0000, 0.3374) and Co at (0.0000, 0.0000, 0.6803).


Crystalline ScSnAu2 at its relaxed geometry. Source: Alexandria, functional PBE.

The total energy is -4.746 eV/atom. The calculation puts the energy of formation at -524 meV per atom.

It has space group P4/mmm (No. 123), with a = 4.4057 Å, b = 4.4057 Å, c = 4.1330 Å, α = 90.00°, β = 90.00° and γ = 90.00°. The asymmetric unit holds Sc at (0.0000, 0.0000, 0.0000), Sn at (0.5000, 0.5000, 0.0000) and Au at (0.0000, 0.5000, 0.5000).


Question: Look up the total energy of the third one.
Answer: -3.798 eV/atom